[1]
Below is a crystal of CrRuPt3 relaxed with PBEsol, with properties calculated at the SCAN level.

```
CrRuPt3
1.0
4.4531 0.0000 0.0000
0.0000 4.4531 0.0000
0.0000 0.0000 4.4531
Cr Ru Pt
1 1 3
direct
0.0000 0.0000 0.0000
0.5000 0.5000 0.5000
0.0000 0.0000 0.5000
0.0000 0.5000 0.0000
0.5000 0.0000 0.0000
```

Summary:
The symmetry is No. 221. The calculation puts the final energy at -51.4647 eV/atom. Its magnetization is 2.6 μB per cell.

[2]
Below is a crystal of CoSb2O4 relaxed with PBEsol, with properties calculated at the SCAN level.

```
CoSb2O4
1.0
8.3920 0.0000 0.0000
0.0000 8.3920 0.0000
0.0000 0.0000 5.8125
Co Sb O
4 8 16
direct
0.0000 0.5000 0.2500
0.0000 0.5000 0.7500
0.5000 0.0000 0.2500
0.5000 0.0000 0.7500
0.1616 0.1688 0.0000
0.1688 0.8384 0.5000
0.3312 0.3384 0.5000
0.3384 0.6688 0.0000
0.6616 0.3312 0.0000
0.6688 0.6616 0.5000
0.8312 0.1616 0.5000
0.8384 0.8312 0.0000
0.0962 0.3564 0.5000
0.1436 0.4038 0.0000
0.1732 0.6732 0.2500
0.1732 0.6732 0.7500
0.3268 0.1732 0.2500
0.3268 0.1732 0.7500
0.3564 0.9038 0.0000
0.4038 0.8564 0.5000
0.5962 0.1436 0.5000
0.6436 0.0962 0.0000
0.6732 0.8268 0.2500
0.6732 0.8268 0.7500
0.8268 0.3268 0.2500
0.8268 0.3268 0.7500
0.8564 0.5962 0.0000
0.9038 0.6436 0.5000
```

Summary:
The symmetry is No. 135. The calculation puts the final energy at -18.0040 eV/atom. For the uncorrected formation energy, the calculation gives -1.325 eV/atom. Its magnetization is 12.0 μB per cell.

[3]
Below is a crystal of Cd3PN relaxed with PBEsol, with properties calculated at the SCAN level.

```
Cd3PN
1.0
4.4758 0.0000 0.0000
0.0000 4.4758 0.0000
0.0000 0.0000 4.4758
Cd P N
3 1 1
direct
0.0000 0.0000 0.5000
0.0000 0.5000 0.0000
0.5000 0.0000 0.0000
0.5000 0.5000 0.5000
0.0000 0.0000 0.0000
```

Summary:
The symmetry is No. 221. The calculation puts the final energy at -21.8023 eV/atom. For the uncorrected formation energy, the calculation gives 0.384 eV/atom. Its magnetization is 0.0 μB per cell.

[4]
Below is a crystal of LaScNi2 relaxed with PBEsol, with properties calculated at the SCAN level.

```
LaScNi2
1.0
2.1908 1.2648 4.6197
-2.1908 1.2648 4.6197
0.0000 -2.5297 4.6197
La Sc Ni
1 1 2
direct
0.0000 0.0000 0.0000
0.5000 0.5000 0.5000
0.2100 0.2100 0.2100
0.7900 0.7900 0.7900
```

Summary:
The symmetry is No. 166. The calculation puts the energy relative to the lowest polymorph listed for this composition at 0.0329 eV/atom. The calculation puts the final energy at -22.7325 eV/atom. Its magnetization is 0.0 μB per cell.

[5]
Below is a crystal of Eu2CrSbO6 relaxed with PBEsol, with properties calculated at the SCAN level.

```
Eu2CrSbO6
1.0
0.0000 3.9461 3.9461
3.9461 0.0000 3.9461
3.9461 3.9461 0.0000
Eu Cr Sb O
2 1 1 6
direct
0.2500 0.2500 0.2500
0.7500 0.7500 0.7500
0.0000 0.0000 0.0000
0.5000 0.5000 0.5000
0.2489 0.2489 0.7511
0.2489 0.7511 0.2489
0.2489 0.7511 0.7511
0.7511 0.2489 0.2489
0.7511 0.2489 0.7511
0.7511 0.7511 0.2489
```

Summary:
The symmetry is No. 225. The calculation puts the final energy at -22.5995 eV/atom. For the uncorrected formation energy, the calculation gives -2.554 eV/atom. Its magnetization is 17.0 μB per cell.

[6]
Below is a crystal of KLiHg2 relaxed with PBEsol, with properties calculated at the SCAN level.

```
KLiHg2
1.0
3.5615 0.0000 0.0000
0.0000 3.5615 0.0000
0.0000 0.0000 7.9372
K Li Hg
1 1 2
direct
0.0000 0.0000 0.0000
0.0000 0.0000 0.5000
0.5000 0.5000 0.3156
0.5000 0.5000 0.6844
```

Summary:
The symmetry is No. 123. The calculation puts the energy relative to the lowest polymorph listed for this composition at 0.0000 eV/atom. The calculation puts the final energy at -37.1099 eV/atom. Its magnetization is 0.0 μB per cell.

[7]
Below is a crystal of TlTeRu2 relaxed with PBEsol, with properties calculated at the SCAN level.

```
TlTeRu2
1.0
3.1652 0.0000 0.0000
0.0000 3.1652 0.0000
0.0000 0.0000 6.8820
Tl Te Ru
1 1 2
direct
0.0000 0.0000 0.0000
0.0000 0.0000 0.5000
0.5000 0.5000 0.2771
0.5000 0.5000 0.7229
```

Summary:
The symmetry is No. 123. The calculation puts the energy relative to the lowest polymorph listed for this composition at 0.0007 eV/atom. The calculation puts the final energy at -44.3825 eV/atom. For the uncorrected formation energy, the calculation gives 0.433 eV/atom. Its magnetization is 0.0 μB per cell.

[8]
Below is a crystal of Li2ScW relaxed with PBEsol, with properties calculated at the SCAN level.

```
Li2ScW
1.0
1.4358 0.8290 10.1142
-1.4358 0.8290 10.1142
0.0000 -1.6580 10.1142
Li Sc W
2 1 1
direct
0.0000 0.0000 0.0000
0.2478 0.2478 0.2478
0.4902 0.4902 0.4902
0.7452 0.7452 0.7452
```

Summary:
The symmetry is No. 160. The calculation puts the energy relative to the lowest polymorph listed for this composition at 0.0000 eV/atom. The calculation puts the final energy at -21.7877 eV/atom. Its magnetization is 0.0 μB per cell.